Material: P2AuSO
Method: DFT, PBEsol
State: relaxed

Geometry as CIF:
```
data_P2AuSO
_cell_length_a 4.7809
_cell_length_b 4.7809
_cell_length_c 3.8464
_cell_angle_alpha 90.00
_cell_angle_beta 90.00
_cell_angle_gamma 90.00
_symmetry_space_group_name_H-M 'P 1'
_symmetry_Int_Tables_number 1
loop_
_symmetry_equiv_pos_as_xyz
'x,y,z'
loop_
_atom_site_label
_atom_site_fract_x
_atom_site_fract_y
_atom_site_fract_z
P1 0.0000 0.5000 0.0000
P2 0.5000 0.0000 0.0000
Au1 0.0000 0.0000 0.0000
S1 0.5000 0.5000 0.5000
O1 0.0000 0.0000 0.5000
```

Summary:
Formation energy without anion corrections   4.78 eV per formula unit
Density of states at the Fermi level   1.028 states/eV/atom
Theoretical density   5.80 g cm⁻³